Compound: Hg3Ru
Source: Alexandria
Functional: PBE
Structure: optimized geometry

Properties
The density of states at the Fermi level is 2.063 states/eV/cell. As for the uncorrected energy: -0.14879 Ry/atom. The value obtained for the formation energy is 0.521 eV per atom. The energy above the most stable polymorph in this dataset is 146.2 meV per atom.

Cell: 3.013 5.638 5.638 Å, 63.10 100.26 79.74°
Positions (direct):
Hg: 0.000 0.500 0.500
Hg: 0.500 0.500 0.000
Hg: 0.000 0.000 0.000
Ru: 0.500 0.000 0.500